Entry a
This record from Alexandria via LeMat-Bulk describes a relaxed structure of AcLu2Pa. The functional is PBE.

a b c (Å): 3.5533 3.5533 9.9685
angles (deg): 90.00 90.00 90.00
Fractional positions:
Ac 0.0000 0.0000 0.0000
Lu 0.5000 0.5000 0.2813
Lu 0.5000 0.5000 0.7187
Pa 0.0000 0.0000 0.5000

Calculated values
- spin magnetization (μB/f.u.) = 0.30

---

Entry b
This record from Alexandria via LeMat-Bulk describes a relaxed structure of AcLu2Pa. The functional is PBE.

a b c (Å): 12.4361 12.4361 12.4361
angles (deg): 16.00 16.00 16.00
Fractional positions:
Ac 0.0000 0.0000 0.0000
Lu 0.0953 0.0953 0.0953
Lu 0.9047 0.9047 0.9047
Pa 0.5000 0.5000 0.5000

Calculated values
- spin magnetization (μB/f.u.) = 0.00

---

Most stable: entry a. Least stable: entry b.